The following is a GGA-PBE calculation of a relaxed structure of SiRhCl2, from Alexandria via LeMat-Bulk.

POSCAR file:
```
SiRhCl2
1.0
0.000 3.261 3.261
3.261 0.000 3.261
3.261 3.261 0.000
Rh Cl Si
1 2 1
Direct
0.500 0.500 0.500
0.750 0.750 0.750
0.250 0.250 0.250
0.000 0.000 0.000
```

Properties
For the distance to the lowest polymorph of the same formula, the calculation gives 102.8 kJ/mol of atoms. The calculation puts the density of states at the Fermi level at 4.432 states/eV/cell.


The following is a GGA-PBE calculation of a relaxed structure of SiRhCl, from Alexandria via LeMat-Bulk.

POSCAR file:
```
SiRhCl
1.0
-0.096 -1.869 -3.018
3.098 1.220 1.235
0.668 -4.485 2.757
Si Cl Rh
1 1 1
Direct
0.333 0.667 0.566
0.000 0.000 0.053
0.667 0.333 0.381
```

Properties
For the distance to the lowest polymorph of the same formula, the calculation gives 25.8 kJ/mol of atoms.


The following is a GGA-PBE calculation of a relaxed structure of Sm4SiRhCl2, from Alexandria via LeMat-Bulk.

POSCAR file:
```
Sm4SiRhCl2
1.0
-3.874 -0.706 0.975
0.300 -6.505 -3.517
2.166 -5.100 4.912
Sm Cl Si Rh
4 2 1 1
Direct
0.500 0.715 0.252
0.000 0.289 0.229
0.500 0.285 0.748
0.000 0.711 0.771
0.500 0.000 0.500
0.000 0.000 0.000
0.000 0.500 0.500
0.500 0.500 0.000
```

Properties
The calculation puts the density of states at the Fermi level at 6.479 states/eV/cell.


The following is a GGA-PBE calculation of a relaxed structure of SiTcRhCl, from Alexandria via LeMat-Bulk.

POSCAR file:
```
SiTcRhCl
1.0
-0.178 5.879 3.615
0.863 -1.443 2.389
6.586 0.698 -1.960
Tc Cl Rh Si
2 2 2 2
Direct
0.213 0.000 0.423
0.213 0.500 0.923
0.491 0.500 0.429
0.491 0.000 0.929
0.845 0.000 0.961
0.845 0.500 0.461
0.019 0.000 0.689
0.019 0.500 0.189
```

Properties
For the distance to the lowest polymorph of the same formula, the calculation gives 8.6 kJ/mol of atoms. The calculation puts the density of states at the Fermi level at 5.379 states/eV/cell.


| no. | total energy (hartree per atom) | M_tot (μB per atom) | raw formation energy (eV/f.u.) |
| --- | --- | --- | --- |
| 1 | -0.1334 | 0.251 | 1.95 |
| 2 | -0.1905 | 0.000 | -0.93 |
| 3 | -0.2031 | 0.000 | -8.86 |
| 4 | -0.2373 | 0.000 | -0.84 |